DFT (SCAN) results for a PBEsol-optimized structure of Sr2IrOs.

a b c (Å): 3.019 3.843 8.848
angles (deg): 90.00 90.00 90.00
Fractional coordinates of all 4 atoms:
Sr 0.000 0.000 0.000
Sr 0.500 0.500 0.414
Ir 0.000 0.000 0.659
Os 0.500 0.500 0.750

Computed properties:
E_form = 315 meV per atom
Calculated volume = 102.65 Å³ per cell
Total moment = 0.0 μB per cell
Total DFT energy (no corrections) = -46.5671 eV/atom
ρ = 9.0 g/cm3

---

DFT (SCAN) results for a PBEsol-optimized structure of SrIrOs2.

a b c (Å): 3.954 3.954 4.328
angles (deg): 90.00 90.00 90.00
Fractional coordinates of all 4 atoms:
Sr 0.000 0.000 0.000
Ir 0.500 0.500 0.000
Os 0.000 0.500 0.500
Os 0.500 0.000 0.500

Computed properties:
E_form = 1128 meV per atom
Calculated volume = 67.68 Å³ per cell
Total moment = 0.0 μB per cell
Total DFT energy (no corrections) = -58.1560 eV/atom
ρ = 16.2 g/cm3
Distance to the lowest polymorph of the same formula = 680 meV per atom

---

DFT (SCAN) results for a PBEsol-optimized structure of SrIr2Os.

a b c (Å): 2.782 4.794 10.328
angles (deg): 90.00 90.00 90.00
Fractional coordinates of all 8 atoms:
Sr 0.000 0.000 0.000
Sr 0.500 0.500 0.500
Ir 0.000 0.000 0.498
Ir 0.000 0.500 0.223
Ir 0.500 0.000 0.723
Ir 0.500 0.500 0.998
Os 0.000 0.500 0.785
Os 0.500 0.000 0.285

Computed properties:
E_form = 504 meV per atom
Calculated volume = 137.71 Å³ per cell
Total moment = 0.0 μB per cell
Total DFT energy (no corrections) = -58.5844 eV/atom
ρ = 16.0 g/cm3
Distance to the lowest polymorph of the same formula = 0 meV per atom

---

DFT (SCAN) results for a PBEsol-optimized structure of SrIrOs2.

a b c (Å): 2.846 2.846 8.441
angles (deg): 90.00 90.00 90.00
Fractional coordinates of all 4 atoms:
Sr 0.000 0.000 0.000
Ir 0.500 0.500 0.293
Os 0.000 0.000 0.503
Os 0.500 0.500 0.701

Computed properties:
E_form = 448 meV per atom
Calculated volume = 68.37 Å³ per cell
Total moment = 0.0 μB per cell
Total DFT energy (no corrections) = -58.8359 eV/atom
ρ = 16.0 g/cm3
Distance to the lowest polymorph of the same formula = 0 meV per atom

---

DFT (SCAN) results for a PBEsol-optimized structure of SrIrOs2.

a b c (Å): 2.812 4.583 5.665
angles (deg): 90.00 101.48 90.00
Fractional coordinates of all 4 atoms:
Sr 0.000 0.000 0.000
Ir 0.500 0.000 0.500
Os 0.313 0.500 0.690
Os 0.687 0.500 0.310

Computed properties:
E_form = 846 meV per atom
Calculated volume = 71.54 Å³ per cell
Total moment = 0.0 μB per cell
Total DFT energy (no corrections) = -58.4377 eV/atom
ρ = 15.3 g/cm3
Distance to the lowest polymorph of the same formula = 398 meV per atom

---

DFT (SCAN) results for a PBEsol-optimized structure of TaIr2Os.

a b c (Å): 3.872 3.872 7.840
angles (deg): 90.00 90.00 90.00
Fractional coordinates of all 8 atoms:
Ta 0.000 0.000 0.000
Ta 0.500 0.500 0.500
Ir 0.000 0.500 0.250
Ir 0.000 0.500 0.750
Ir 0.500 0.000 0.250
Ir 0.500 0.000 0.750
Os 0.000 0.000 0.500
Os 0.500 0.500 0.000

Computed properties:
E_form = -558 meV per atom
Calculated volume = 117.53 Å³ per cell
Total moment = 0.0 μB per cell
Total DFT energy (no corrections) = -70.7234 eV/atom
ρ = 21.4 g/cm3
Distance to the lowest polymorph of the same formula = 85 meV per atom